The following is a PBE calculation of a geometry-optimized Pr5Tl4Rh structure, from the Alexandria database.

```
data_Pr5Tl4Rh
_cell_length_a 10.250
_cell_length_b 10.250
_cell_length_c 6.044
_cell_angle_alpha 90.00
_cell_angle_beta 90.00
_cell_angle_gamma 90.00
_symmetry_space_group_name_H-M 'I 4'
_symmetry_Int_Tables_number 79
loop_
_symmetry_equiv_pos_as_xyz
'x,y,z'
'-y,x,z'
'-x,-y,z'
'y,-x,z'
'x+1/2,y+1/2,z+1/2'
'-y+1/2,x+1/2,z+1/2'
'-x+1/2,-y+1/2,z+1/2'
'y+1/2,-x+1/2,z+1/2'
loop_
_atom_site_label
_atom_site_type_symbol
_atom_site_fract_x
_atom_site_fract_y
_atom_site_fract_z
Pr1 Pr 0.000 0.000 0.000
Pr2 Pr 0.124 0.240 0.499
Tl1 Tl 0.059 0.349 0.999
Rh1 Rh 0.000 0.000 0.500
```

## Properties
spin magnetization	0.00	μB/cell
ρ	8.5	g/cm³
ΔH_f (0 K)	-0.278	eV per atom